# GaBi2Pd2, optimized geometry, DFT PBE
data_GaBi2Pd2
_symmetry_space_group_name_H-M 'P 4/m b m'
_symmetry_Int_Tables_number 127
_symmetry_space_group_name_Hall '-P 4 2ab'
_cell_length_a 8.303
_cell_length_b 8.303
_cell_length_c 3.315
_cell_angle_alpha 90.00
_cell_angle_beta 90.00
_cell_angle_gamma 90.00
loop_
_atom_site_label
_atom_site_fract_x
_atom_site_fract_y
_atom_site_fract_z
Ga1 0.000 0.000 0.000
Bi1 0.161 0.339 0.000
Pd1 0.130 0.630 0.500
# E in eV per atom: -4.2861
# ρ in Mg/m³: 10.182
# E above lowest polymorph in eV/atom: 0.1641


# Ga2BiPd2, optimized geometry, DFT PBE
data_Ga2BiPd2
_symmetry_space_group_name_H-M 'I 4/m m m'
_symmetry_Int_Tables_number 139
_symmetry_space_group_name_Hall '-I 4 2'
_cell_length_a 4.321
_cell_length_b 4.321
_cell_length_c 10.351
_cell_angle_alpha 90.00
_cell_angle_beta 90.00
_cell_angle_gamma 90.00
loop_
_atom_site_label
_atom_site_fract_x
_atom_site_fract_y
_atom_site_fract_z
Ga1 0.000 0.000 0.121
Bi1 0.000 0.000 0.500
Pd1 0.000 0.500 0.250
# E in eV per atom: -4.3894
# ρ in Mg/m³: 9.644
# E above lowest polymorph in eV/atom: 0.0570


# GaBiPd3, optimized geometry, DFT PBE
data_GaBiPd3
_symmetry_space_group_name_H-M 'P m -3 m'
_symmetry_Int_Tables_number 221
_symmetry_space_group_name_Hall '-P 4 2 3'
_cell_length_a 4.689
_cell_length_b 4.689
_cell_length_c 4.689
_cell_angle_alpha 90.00
_cell_angle_beta 90.00
_cell_angle_gamma 90.00
loop_
_atom_site_label
_atom_site_fract_x
_atom_site_fract_y
_atom_site_fract_z
Ga1 0.000 0.000 0.000
Bi1 0.500 0.500 0.500
Pd1 0.000 0.000 0.500
# E in eV per atom: -4.5416
# ρ in Mg/m³: 9.631
# E above lowest polymorph in eV/atom: 0.3512


# Ga2BiPd, optimized geometry, DFT PBE
data_Ga2BiPd
_symmetry_space_group_name_H-M 'I -4 2 d'
_symmetry_Int_Tables_number 122
_symmetry_space_group_name_Hall 'I -4 2bw'
_cell_length_a 4.567
_cell_length_b 4.567
_cell_length_c 17.336
_cell_angle_alpha 90.00
_cell_angle_beta 90.00
_cell_angle_gamma 90.00
loop_
_atom_site_label
_atom_site_fract_x
_atom_site_fract_y
_atom_site_fract_z
Ga1 0.145 0.250 0.125
Bi1 0.000 0.000 0.500
Pd1 0.000 0.000 0.000
# E in eV per atom: -3.9262
# ρ in Mg/m³: 8.354


# GaBi3Pd4, optimized geometry, DFT PBE
data_GaBi3Pd4
_symmetry_space_group_name_H-M 'I m m 2'
_symmetry_Int_Tables_number 44
_symmetry_space_group_name_Hall 'I 2 -2'
_cell_length_a 5.849
_cell_length_b 9.980
_cell_length_c 5.753
_cell_angle_alpha 90.00
_cell_angle_beta 90.00
_cell_angle_gamma 90.00
loop_
_atom_site_label
_atom_site_fract_x
_atom_site_fract_y
_atom_site_fract_z
Ga1 0.000 0.000 0.000
Bi1 0.000 0.204 0.590
Bi2 0.000 0.500 0.305
Pd1 0.000 0.248 0.080
Pd2 0.242 0.500 0.855
# E in eV per atom: -4.6443
# ρ in Mg/m³: 11.099


# Ga2BiPd9, optimized geometry, DFT PBE
data_Ga2BiPd9
_symmetry_space_group_name_H-M 'P 4/m m m'
_symmetry_Int_Tables_number 123
_symmetry_space_group_name_Hall '-P 4 2'
_cell_length_a 4.014
_cell_length_b 4.014
_cell_length_c 11.871
_cell_angle_alpha 90.00
_cell_angle_beta 90.00
_cell_angle_gamma 90.00
loop_
_atom_site_label
_atom_site_fract_x
_atom_site_fract_y
_atom_site_fract_z
Ga1 0.000 0.000 0.156
Bi1 0.000 0.000 0.500
Pd1 0.000 0.500 0.000
Pd2 0.000 0.500 0.320
Pd3 0.500 0.500 0.161
Pd4 0.500 0.500 0.500
# E in eV per atom: -5.1203
# ρ in Mg/m³: 11.342


# GaBiPd, optimized geometry, DFT PBE
data_GaBiPd
_symmetry_space_group_name_H-M 'I 4 m m'
_symmetry_Int_Tables_number 107
_symmetry_space_group_name_Hall 'I 4 -2'
_cell_length_a 3.315
_cell_length_b 3.315
_cell_length_c 11.484
_cell_angle_alpha 90.00
_cell_angle_beta 90.00
_cell_angle_gamma 90.00
loop_
_atom_site_label
_atom_site_fract_x
_atom_site_fract_y
_atom_site_fract_z
Ga1 0.000 0.000 0.000
Bi1 0.000 0.000 0.712
Pd1 0.000 0.000 0.396
# E in eV per atom: -4.2404
# ρ in Mg/m³: 10.132
# E above lowest polymorph in eV/atom: 0.0533


# GaBi2Pd3, optimized geometry, DFT PBE
data_GaBi2Pd3
_symmetry_space_group_name_H-M 'C m c 21'
_symmetry_Int_Tables_number 36
_symmetry_space_group_name_Hall 'C 2c -2'
_cell_length_a 11.974
_cell_length_b 6.986
_cell_length_c 5.921
_cell_angle_alpha 90.00
_cell_angle_beta 90.00
_cell_angle_gamma 90.00
loop_
_atom_site_label
_atom_site_fract_x
_atom_site_fract_y
_atom_site_fract_z
Ga1 0.000 0.207 0.000
Bi1 0.173 0.330 0.384
Pd1 0.000 0.446 0.677
Pd2 0.123 0.043 0.701
# E in eV per atom: -4.7902
# ρ in Mg/m³: 10.821


# GaSnBiPd2, optimized geometry, DFT PBE
data_GaSnBiPd2
_symmetry_space_group_name_H-M 'P 4/m m m'
_symmetry_Int_Tables_number 123
_symmetry_space_group_name_Hall '-P 4 2'
_cell_length_a 4.752
_cell_length_b 4.752
_cell_length_c 5.466
_cell_angle_alpha 90.00
_cell_angle_beta 90.00
_cell_angle_gamma 90.00
loop_
_atom_site_label
_atom_site_fract_x
_atom_site_fract_y
_atom_site_fract_z
Ga1 0.000 0.000 0.000
Sn1 0.500 0.500 0.500
Bi1 0.000 0.000 0.500
Pd1 0.000 0.500 0.000
# E in eV per atom: -4.0606
# ρ in Mg/m³: 8.211


# Sr3GaBi2Pd9, optimized geometry, DFT PBE
data_Sr3GaBi2Pd9
_symmetry_space_group_name_H-M 'P -3 m 1'
_symmetry_Int_Tables_number 164
_symmetry_space_group_name_Hall '-P 3 2"'
_cell_length_a 6.9386
_cell_length_b 6.9386
_cell_length_c 9.1839
_cell_angle_alpha 90.00
_cell_angle_beta 90.00
_cell_angle_gamma 120.00
loop_
_atom_site_label
_atom_site_fract_x
_atom_site_fract_y
_atom_site_fract_z
Sr1 0.0000 0.0000 0.0000
Sr2 0.3333 0.6667 0.7074
Ga1 0.0000 0.0000 0.5000
Bi1 0.3333 0.6667 0.1986
Pd1 0.0000 0.5000 0.0000
Pd2 0.1296 0.2592 0.2889
# E in eV per atom: -4.5357
# ρ in Mg/m³: 7.408


# Sr2GaBiPd6, optimized geometry, DFT PBE
data_Sr2GaBiPd6
_symmetry_space_group_name_H-M 'P -1'
_symmetry_Int_Tables_number 2
_symmetry_space_group_name_Hall '-P 1'
_cell_length_a 5.666
_cell_length_b 6.812
_cell_length_c 7.091
_cell_angle_alpha 78.85
_cell_angle_beta 66.48
_cell_angle_gamma 65.48
loop_
_atom_site_label
_atom_site_fract_x
_atom_site_fract_y
_atom_site_fract_z
Sr1 0.243 0.286 0.227
Ga1 0.500 0.500 0.500
Bi1 0.000 0.000 0.000
Pd1 0.247 0.747 0.268
Pd2 0.257 0.898 0.591
Pd3 0.262 0.254 0.734
# E in eV per atom: -4.6737
# ρ in Mg/m³: 7.949


# GaTcBi2Pd, optimized geometry, DFT PBE
data_GaTcBi2Pd
_symmetry_space_group_name_H-M 'P 4/m m m'
_symmetry_Int_Tables_number 123
_symmetry_space_group_name_Hall '-P 4 2'
_cell_length_a 5.341
_cell_length_b 5.341
_cell_length_c 4.669
_cell_angle_alpha 90.00
_cell_angle_beta 90.00
_cell_angle_gamma 90.00
loop_
_atom_site_label
_atom_site_fract_x
_atom_site_fract_y
_atom_site_fract_z
Ga1 0.000 0.000 0.000
Tc1 0.000 0.000 0.500
Bi1 0.000 0.500 0.000
Pd1 0.500 0.500 0.500
# E in eV per atom: -4.2413
# ρ in Mg/m³: 8.629